BiMo2S: relaxed, PBE.

Output
Energy above the lowest structure with this stoichiometry = 110.8 meV/atom
Symmetry = Fm-3m
E_form (uncorrected) = 610 meV/atom

Cell and atoms, written as POSCAR:
```
BiMo2S
1.0
0.000 3.263 3.263
3.263 0.000 3.263
3.263 3.263 0.000
Bi Mo S
1 2 1
Cartesian
0.000 0.000 0.000
1.632 1.632 1.632
4.895 4.895 4.895
3.263 3.263 3.263
```



Zn2AsPb: relaxed, PBE.

Output
Energy relative to the elements = 0.10 eV/atom
Symmetry = Imm2

Cell and atoms, written as POSCAR:
```
Zn2AsPb
1.0
-1.881 1.952 5.923
1.881 -1.952 5.923
1.881 1.952 -5.923
Zn As Pb
2 1 1
Cartesian
0.000 0.000 0.000
0.000 1.952 1.964
1.881 0.000 1.943
0.000 0.000 4.492
```



MgAs2Au: relaxed, PBE.

Output
Energy relative to the elements = -0.13 eV/atom
Symmetry = I-42d

Cell and atoms, written as POSCAR:
```
MgAs2Au
1.0
-2.022 2.022 10.086
2.022 -2.022 10.086
2.022 2.022 -10.086
Mg As Au
2 4 2
Cartesian
0.000 0.000 0.000
0.000 2.022 5.043
1.011 -0.790 7.565
1.232 1.011 2.522
1.011 2.812 -2.522
0.790 1.011 12.608
2.022 0.000 5.043
0.000 0.000 10.086
```



SbTe3: relaxed, PBE.

Output
Energy above the lowest structure with this stoichiometry = 94.7 meV/atom
Symmetry = P6_3/mmc
E_form (uncorrected) = 104 meV/atom

Cell and atoms, written as POSCAR:
```
SbTe3
1.0
8.452 0.000 0.000
-4.226 7.320 0.000
0.000 0.000 8.261
Sb Te
4 12
Cartesian
0.000 0.000 0.000
0.000 0.000 4.131
0.000 4.880 2.065
4.226 2.440 6.196
-2.113 3.660 0.000
-2.113 3.660 4.131
0.000 2.388 6.196
-2.158 6.126 6.196
2.068 1.194 2.065
4.226 0.000 0.000
4.226 0.000 4.131
2.113 3.660 0.000
2.113 3.660 4.131
2.158 6.126 6.196
6.384 1.194 2.065
4.226 4.932 2.065
```



DOS at the Fermi energy across the listed records, respectively: 6.46 1.08 1.75 11.52 states/eV/cell.